Entry 1:
DFT (PBE) results for a relaxed structure of Na3Zr2NpS6.

```
Na3Zr2NpS6
1.0
3.288 -5.695 0.000
3.288 5.695 0.000
-2.197 0.000 6.784
Na Zr Np S
3 2 1 6
Cartesian
0.000 0.000 0.000
3.288 1.874 0.000
3.288 -1.874 0.000
2.190 3.796 3.392
2.190 -3.796 3.392
2.190 0.000 3.392
1.053 1.969 1.857
-0.083 0.000 4.929
1.053 -1.969 1.857
3.326 1.969 4.927
4.463 0.000 1.855
3.326 -1.969 4.927
```

Output
total energy: -6.327 eV/atom
size of the total moment: 4.9 μB/f.u.



Entry 2:
DFT (PBE) results for a relaxed structure of Na4ZrNp3S8.

```
Na4ZrNp3S8
1.0
6.804 -3.929 0.000
6.804 3.929 0.000
-4.541 0.000 6.710
Na Zr Np S
4 1 3 8
Cartesian
0.000 0.000 0.000
3.402 1.964 0.000
3.402 -1.964 0.000
6.804 0.000 0.000
-2.270 0.000 3.355
1.131 1.964 3.355
1.131 -1.964 3.355
4.533 0.000 3.355
-0.082 0.000 4.871
3.439 2.034 4.871
5.627 2.034 1.839
2.265 0.000 1.807
6.802 0.000 4.903
3.439 -2.034 4.871
5.627 -2.034 1.839
9.149 0.000 1.840
```

Output
total energy: -6.740 eV/atom
size of the total moment: 13.0 μB/f.u.



Entry 3:
DFT (PBE) results for a relaxed structure of Na2ZrNpS4.

```
Na2ZrNpS4
1.0
6.664 0.000 0.000
0.000 3.843 0.000
-2.208 0.000 6.765
Na Zr Np S
2 1 1 4
Cartesian
0.000 0.000 0.000
3.332 1.922 0.000
-1.104 1.922 3.382
2.228 0.000 3.382
-0.061 0.000 4.900
1.033 1.922 1.832
3.423 1.922 4.932
4.517 0.000 1.865
```

Output
total energy: -6.492 eV/atom
size of the total moment: 4.7 μB/f.u.



Entry 4:
DFT (PBE) results for a relaxed structure of NaNpSb2.

```
NaNpSb2
1.0
5.700 0.000 0.000
0.000 5.700 0.000
0.000 0.000 3.234
Na Np Sb
1 1 2
Cartesian
0.000 0.000 0.000
2.850 2.850 0.000
0.000 2.850 1.617
2.850 0.000 1.617
```

Output
total energy: -5.861 eV/atom
size of the total moment: 3.9 μB/f.u.



| no. | DOS(E_F) (states/eV per atom) |
| --- | --- |
| 1 | 1.15 |
| 2 | 1.83 |
| 3 | 1.24 |
| 4 | 2.35 |